Material: AcPmYSc
Method: DFT, PBE-GGA
State: optimized geometry

Total moment (μB/f.u.): 0.000
Energy of formation (meV/atom): 111.3

Unit cell a=5.756 b=5.756 c=5.756 alpha=60.00 beta=60.00 gamma=60.00
Positions (direct):
Y 0.750 0.750 0.750
Ac 0.000 0.000 0.000
Sc 0.250 0.250 0.250
Pm 0.500 0.500 0.500


Material: AcPmScZn
Method: DFT, PBE-GGA
State: optimized geometry

Total moment (μB/f.u.): 0.005
Energy of formation (meV/atom): 196.3

Unit cell a=5.443 b=5.443 c=5.443 alpha=60.00 beta=60.00 gamma=60.00
Positions (direct):
Zn 0.250 0.250 0.250
Sc 0.000 0.000 0.000
Ac 0.750 0.750 0.750
Pm 0.500 0.500 0.500


Material: AcPmSe2
Method: DFT, PBE-GGA
State: optimized geometry

ΔE to the lowest computed polymorph (meV/atom): 234
Total moment (μB/f.u.): 0.005
Formation energy without anion corrections (eV per atom): -1.611

Unit cell a=3.742 b=3.742 c=7.462 alpha=90.00 beta=90.00 gamma=90.00
Positions (direct):
Se 0.000 0.000 0.237
Se 0.000 0.000 0.763
Ac 0.500 0.500 0.500
Pm 0.500 0.500 0.000


Material: AcPm2Se
Method: DFT, PBE-GGA
State: optimized geometry

ΔE to the lowest computed polymorph (meV/atom): 8
Total moment (μB/f.u.): 0.000
Formation energy without anion corrections (eV per atom): -0.828

Unit cell a=3.992 b=3.992 c=10.136 alpha=78.64 beta=78.64 gamma=60.00
Positions (direct):
Pm 0.061 0.061 0.816
Pm 0.272 0.272 0.184
Ac 0.500 0.500 0.500
Se 0.667 0.667 0.000


Material: AcPmSe2
Method: DFT, PBE-GGA
State: optimized geometry

ΔE to the lowest computed polymorph (meV/atom): 43
Total moment (μB/f.u.): 0.000
Formation energy without anion corrections (eV per atom): -1.802

Unit cell a=4.222 b=4.222 c=7.950 alpha=74.60 beta=74.60 gamma=60.00
Positions (direct):
Pm 0.672 0.672 0.985
Se 0.076 0.076 0.771
Se 0.257 0.257 0.230
Ac 0.495 0.495 0.514


Material: Ac6PmSe8
Method: DFT, PBE-GGA
State: optimized geometry

Total moment (μB/f.u.): 0.000
Formation energy without anion corrections (eV per atom): -1.903

Unit cell a=8.876 b=8.876 c=8.876 alpha=60.00 beta=60.00 gamma=60.00
Positions (direct):
Ac 0.500 0.000 0.000
Ac 0.500 0.500 0.000
Ac 0.500 0.000 0.500
Ac 0.000 0.000 0.500
Ac 0.000 0.500 0.500
Ac 0.000 0.500 0.000
Se 0.241 0.759 0.759
Se 0.241 0.759 0.241
Se 0.759 0.241 0.759
Se 0.750 0.750 0.750
Se 0.241 0.241 0.759
Se 0.759 0.241 0.241
Se 0.759 0.759 0.241
Se 0.250 0.250 0.250
Pm 0.000 0.000 0.000